(1)
PrHfPd2 | PBE | optimized geometry

Its formation energy is -552 meV per atom. For the energy above the most stable polymorph in this dataset, the calculation gives 129 meV/atom. The calculated volume comes out at 83.9 Å³/cell.

It has space group P4/mmm (No. 123), with a = 5.0586 Å, b = 5.0586 Å, c = 3.2796 Å, α = 90.00°, β = 90.00° and γ = 90.00°. The asymmetric unit holds Pr at (0.0000, 0.0000, 0.0000), Hf at (0.5000, 0.5000, 0.0000) and Pd at (0.0000, 0.5000, 0.5000).



(2)
Pu3MnCd | PBE | optimized geometry

Its formation energy is 186 meV per atom. The calculated volume comes out at 126.5 Å³/cell.

It has space group Pm-3m (No. 221), with a = 5.0205 Å, b = 5.0205 Å, c = 5.0205 Å, α = 90.00°, β = 90.00° and γ = 90.00°. The asymmetric unit holds Pu at (0.0000, 0.0000, 0.5000), Mn at (0.0000, 0.0000, 0.0000) and Cd at (0.5000, 0.5000, 0.5000).